Si2SbRh at its PBEsol-relaxed geometry, computed with SCAN.

a = 3.036 Å, b = 3.036 Å, c = 7.163 Å
α = 90.00°, β = 90.00°, γ = 90.00°
Fractional positions:
Sb 0.500 0.500 0.500
Rh 0.500 0.500 0.000
Si 0.000 0.000 0.806
Si 0.000 0.000 0.194

space group: P4/mmm (123)
DFT total energy: -22.74 eV per atom
magnetic moment: 0.00 μB per formula unit
uncorrected formation energy: 0.022 eV per atom